1.
{
  "formula": "NaGa7Ni2",
  "functional": "PBE",
  "state": "relaxed",
  "cell": [[4.1937, -5.1968, 0.0000], [4.1937, 5.1968, 0.0000], [0.0000, 0.0000, 4.5432]],
  "species": ["Na", "Ga", "Ga", "Ga", "Ga", "Ga", "Ga", "Ga", "Ni", "Ni"],
  "frac_coords": [[0.0000, 0.0000, 0.0000], [0.0934, 0.3451, 0.5000], [0.3055, 0.6945, 0.0000], [0.3451, 0.0934, 0.5000], [0.5000, 0.5000, 0.5000], [0.6549, 0.9066, 0.5000], [0.6945, 0.3055, 0.0000], [0.9066, 0.6549, 0.5000], [0.2732, 0.7268, 0.5000], [0.7268, 0.2732, 0.5000]],
  "magmom_total_mub_per_fu": 0.000,
  "final_energy_ev_per_atom": -3.514
}



2.
{
  "formula": "KTlZn",
  "functional": "PBE",
  "state": "relaxed",
  "cell": [[7.8080, 0.0000, 0.0000], [0.0000, 7.8080, 0.0000], [0.0000, 0.0000, 7.8080]],
  "species": ["K", "K", "K", "K", "Tl", "Tl", "Tl", "Tl", "Zn", "Zn", "Zn", "Zn"],
  "frac_coords": [[0.0000, 0.0000, 0.0000], [0.0000, 0.5000, 0.5000], [0.5000, 0.0000, 0.5000], [0.5000, 0.5000, 0.0000], [0.2500, 0.2500, 0.2500], [0.2500, 0.7500, 0.7500], [0.7500, 0.2500, 0.7500], [0.7500, 0.7500, 0.2500], [0.2500, 0.2500, 0.7500], [0.2500, 0.7500, 0.2500], [0.7500, 0.2500, 0.2500], [0.7500, 0.7500, 0.7500]],
  "magmom_total_mub_per_fu": 0.000,
  "polymorph_energy_ev_per_atom": 0.394
}